Entry 1:
## Pr5Nd12Er (GGA-PBE)

Data for a geometry-optimized Pr5Nd12Er structure.

Lattice parameters (Å, degrees): 11.049 11.049 6.371 106.65 106.65 60.05
Fractional positions:
Pr1 0.000 0.000 0.000
Pr2 0.167 0.167 0.501
Pr3 0.334 0.334 0.003
Pr4 0.666 0.666 0.997
Pr5 0.833 0.833 0.499
Nd1 0.000 0.334 0.002
Nd2 0.000 0.666 0.998
Nd3 0.168 0.501 0.501
Nd4 0.169 0.831 0.500
Nd5 0.334 0.000 0.002
Nd6 0.335 0.665 0.000
Nd7 0.499 0.832 0.499
Nd8 0.501 0.168 0.501
Nd9 0.665 0.335 0.000
Nd10 0.666 0.000 0.998
Nd11 0.831 0.169 0.500
Nd12 0.832 0.499 0.499
Er1 0.500 0.500 0.500

Results
For the calculated volume, the calculation gives 636 Å³ per cell. The magnetization is 0.000 μB/atom. As for the formation energy: 0.0144 eV/atom.

Entry 2:
## La6HoHg (GGA-PBE)

Data for a geometry-optimized La6HoHg structure.

Lattice parameters (Å, degrees): 5.086 5.086 10.363 90.00 90.00 90.00
Fractional positions:
La1 0.000 0.000 0.000
La2 0.000 0.000 0.500
La3 0.000 0.500 0.246
La4 0.000 0.500 0.754
La5 0.500 0.000 0.246
La6 0.500 0.000 0.754
Ho1 0.500 0.500 0.500
Hg1 0.500 0.500 0.000

Results
The energy above the most stable polymorph in this dataset is 0 meV per atom. For the calculated volume, the calculation gives 268 Å³ per cell. The magnetization is 0.000 μB/atom. As for the formation energy: -0.0869 eV/atom.

Entry 3:
## K2Tl3H2Pd5 (GGA-PBE)

Data for a geometry-optimized K2Tl3H2Pd5 structure.

Lattice parameters (Å, degrees): 15.759 15.759 15.759 165.08 165.08 21.16
Fractional positions:
K1 0.195 0.195 0.000
K2 0.805 0.805 0.000
Tl1 0.368 0.368 0.000
Tl2 0.500 0.500 0.000
Tl3 0.632 0.632 0.000
H1 0.065 0.065 0.000
H2 0.935 0.935 0.000
Pd1 0.000 0.000 0.000
Pd2 0.068 0.568 0.500
Pd3 0.432 0.932 0.500
Pd4 0.568 0.068 0.500
Pd5 0.932 0.432 0.500

Results
For the calculated volume, the calculation gives 259 Å³ per cell. The magnetization is 0.000 μB/atom. For the total energy, the calculation gives -3.664 eV per atom.

Entry 4:
## PmTmTlAu (GGA-PBE)

Data for a geometry-optimized PmTmTlAu structure.

Lattice parameters (Å, degrees): 3.639 3.639 7.793 90.00 90.00 90.00
Fractional positions:
Pm1 0.000 0.000 0.000
Tm1 0.000 0.000 0.460
Tl1 0.500 0.500 0.723
Au1 0.500 0.500 0.262

Results
The energy above the most stable polymorph in this dataset is 0 meV per atom. For the calculated volume, the calculation gives 103 Å³ per cell. The magnetization is 0.001 μB/atom. As for the formation energy: -0.6077 eV/atom.

Entry 5:
## HfAu3Br (GGA-PBE)

Data for a geometry-optimized HfAu3Br structure.

Lattice parameters (Å, degrees): 5.284 5.284 5.284 90.00 90.00 90.00
Fractional positions:
Hf1 0.000 0.000 0.000
Au1 0.000 0.000 0.500
Au2 0.000 0.500 0.000
Au3 0.500 0.000 0.000
Br1 0.500 0.500 0.500

Results
The energy above the most stable polymorph in this dataset is 0 meV per atom. For the calculated volume, the calculation gives 148 Å³ per cell. The magnetization is 0.000 μB/atom.

Entry 6:
## La2Pr2YAg5 (GGA-PBE)

Data for a geometry-optimized La2Pr2YAg5 structure.

Lattice parameters (Å, degrees): 11.172 11.172 4.336 90.00 90.00 90.00
Fractional positions:
La1 0.172 0.328 0.000
La2 0.328 0.828 0.000
La3 0.672 0.172 0.000
La4 0.828 0.672 0.000
Pr1 0.131 0.631 0.000
Pr2 0.369 0.131 0.000
Pr3 0.631 0.869 0.000
Pr4 0.869 0.369 0.000
Y1 0.000 0.000 0.000
Y2 0.500 0.500 0.000
Ag1 0.000 0.500 0.500
Ag2 0.067 0.820 0.500
Ag3 0.180 0.067 0.500
Ag4 0.320 0.567 0.500
Ag5 0.433 0.320 0.500
Ag6 0.500 0.000 0.500
Ag7 0.567 0.680 0.500
Ag8 0.680 0.433 0.500
Ag9 0.820 0.933 0.500
Ag10 0.933 0.180 0.500

Results
For the calculated volume, the calculation gives 541 Å³ per cell. The magnetization is 0.000 μB/atom. As for the formation energy: -0.1192 eV/atom.

Entry 7:
## Ta5Sb (GGA-PBE)

Data for a geometry-optimized Ta5Sb structure.

Lattice parameters (Å, degrees): 2.911 2.911 13.644 90.00 90.00 90.00
Fractional positions:
Ta1 0.000 0.000 0.000
Ta2 0.000 0.000 0.334
Ta3 0.000 0.000 0.666
Ta4 0.500 0.500 0.167
Ta5 0.500 0.500 0.833
Sb1 0.500 0.500 0.500

Results
The energy above the most stable polymorph in this dataset is 340 meV per atom. For the calculated volume, the calculation gives 116 Å³ per cell. The magnetization is 0.000 μB/atom.

Entry 8:
## Er5Tm6Pu (GGA-PBE)

Data for a geometry-optimized Er5Tm6Pu structure.

Lattice parameters (Å, degrees): 9.220 9.220 9.220 149.01 115.34 73.43
Fractional positions:
Er1 0.000 0.000 0.000
Er2 0.166 0.666 0.500
Er3 0.334 0.334 0.000
Er4 0.666 0.666 0.000
Er5 0.834 0.334 0.500
Tm1 0.087 0.835 0.252
Tm2 0.254 0.500 0.754
Tm3 0.417 0.165 0.252
Tm4 0.583 0.835 0.748
Tm5 0.746 0.500 0.246
Tm6 0.913 0.165 0.748
Pu1 0.500 0.000 0.500

Results
For the calculated volume, the calculation gives 359 Å³ per cell. The magnetization is 0.533 μB/atom. As for the formation energy: 0.0444 eV/atom.

Entry 9:
## Pr4Ga2N (GGA-PBE)

Data for a geometry-optimized Pr4Ga2N structure.

Lattice parameters (Å, degrees): 8.480 8.480 8.480 145.93 145.93 48.95
Fractional positions:
Pr1 0.000 0.500 0.500
Pr2 0.171 0.171 0.000
Pr3 0.500 0.000 0.500
Pr4 0.829 0.829 0.000
Ga1 0.370 0.370 0.000
Ga2 0.630 0.630 0.000
N1 0.000 0.000 0.000

Results
The energy above the most stable polymorph in this dataset is 59 meV per atom. For the calculated volume, the calculation gives 191 Å³ per cell. The magnetization is 0.000 μB/atom.

Entry 10:
## Co2SeBr (GGA-PBE)

Data for a geometry-optimized Co2SeBr structure.

Lattice parameters (Å, degrees): 6.758 6.758 6.758 131.99 131.99 70.25
Fractional positions:
Co1 0.106 0.625 0.981
Co2 0.375 0.356 0.481
Co3 0.644 0.125 0.019
Co4 0.875 0.894 0.519
Se1 0.000 0.000 0.000
Se2 0.750 0.250 0.500
Br1 0.250 0.750 0.500
Br2 0.500 0.500 0.000

Results
The energy above the most stable polymorph in this dataset is 177 meV per atom. For the calculated volume, the calculation gives 167 Å³ per cell. The magnetization is 1.023 μB/atom.

Entry 11:
## Se3BrO (GGA-PBE)

Data for a geometry-optimized Se3BrO structure.

Lattice parameters (Å, degrees): 5.154 5.154 5.154 90.00 90.00 90.00
Fractional positions:
Se1 0.000 0.000 0.500
Se2 0.000 0.500 0.000
Se3 0.500 0.000 0.000
Br1 0.000 0.000 0.000
O1 0.500 0.500 0.500

Results
The energy above the most stable polymorph in this dataset is 882 meV per atom. For the calculated volume, the calculation gives 137 Å³ per cell. The magnetization is 0.000 μB/atom.

Entry 12:
## RbSbTe2H (GGA-PBE)

Data for a geometry-optimized RbSbTe2H structure.

Lattice parameters (Å, degrees): 6.481 6.481 6.373 90.00 90.00 90.00
Fractional positions:
Rb1 0.000 0.000 0.000
Sb1 0.000 0.000 0.500
Te1 0.000 0.500 0.000
Te2 0.500 0.000 0.000
H1 0.500 0.500 0.500

Results
The energy above the most stable polymorph in this dataset is 1300 meV per atom. For the calculated volume, the calculation gives 268 Å³ per cell. The magnetization is 0.307 μB/atom.